{"formula": "La2ZnCoAg", "functional": "PBE", "state": "optimized geometry", "cell": [[5.234, 0.000, 0.000], [0.000, 5.234, 0.000], [0.000, 0.000, 4.689]], "species": ["La", "La", "Zn", "Co", "Ag"], "frac_coords": [[0.000, 0.500, 0.000], [0.500, 0.000, 0.000], [0.000, 0.000, 0.500], [0.000, 0.000, 0.000], [0.500, 0.500, 0.500]], "e_tot_ev_per_atom": -4.417, "volume_a3_per_cell": 128, "formation_enthalpy_0k_ev_per_fu": -1.0}